First-principles (PBE) data for a relaxed structure of CaAcAsSe, as listed in Alexandria.

Results
- Formation energy without anion corrections: -1694.1 meV/atom
- VASP energy: -5.255 eV per atom
- Spin magnetization: 0.00 μB/f.u.
- Crystal system: trigonal

Lattice parameters (Å, degrees): 7.562 7.562 7.562 34.18 34.18 34.18
Atoms (fractional coordinates):
Ca (0.000, 0.000, 0.000)
Ac (0.492, 0.492, 0.492)
As (0.744, 0.744, 0.744)
Se (0.250, 0.250, 0.250)

***

First-principles (PBE) data for a relaxed structure of CaAc2TbAs4, as listed in Alexandria.

Results
- VASP energy: -5.489 eV per atom
- Spin magnetization: 0.00 μB/f.u.
- Formation enthalpy at 0 K: -126.26 kJ/mol of atoms
- Crystal system: monoclinic

Lattice parameters (Å, degrees): 7.486 4.410 7.659 90.00 109.86 90.00
Atoms (fractional coordinates):
Ca (0.000, 0.000, 0.000)
Ac (0.500, 0.000, 0.500)
Ac (0.500, 0.500, 0.000)
Tb (0.000, 0.500, 0.500)
As (0.230, 0.000, 0.738)
As (0.233, 0.500, 0.250)
As (0.767, 0.500, 0.750)
As (0.770, 0.000, 0.262)

***

First-principles (PBE) data for a relaxed structure of Ca2AcThAs4, as listed in Alexandria.

Results
- VASP energy: -5.502 eV per atom
- Spin magnetization: 0.00 μB/f.u.
- Formation enthalpy at 0 K: -119.21 kJ/mol of atoms
- Crystal system: monoclinic

Lattice parameters (Å, degrees): 7.386 4.392 7.631 90.00 110.14 90.00
Atoms (fractional coordinates):
Ca (0.000, 0.000, 0.000)
Ca (0.000, 0.500, 0.500)
Ac (0.500, 0.000, 0.500)
Th (0.500, 0.500, 0.000)
As (0.247, 0.500, 0.236)
As (0.255, 0.000, 0.763)
As (0.745, 0.000, 0.237)
As (0.753, 0.500, 0.764)